Ta2FeH2 | Alexandria via LeMat-Bulk | GGA-PBEsol | optimized geometry; density of states at the Fermi level = 2.73 states/eV/cell; total DFT energy (no corrections) = -8.305 eV per atom
1.0
-2.9584 -0.1000 0.0730
0.1087 -2.9337 0.3862
1.5405 2.2749 5.4965
H Ta Fe
2 2 1
Direct
0.7500 0.2500 0.5000
0.2500 0.7500 0.5000
0.3654 0.3654 0.7308
0.6346 0.6346 0.2692
0.0000 0.0000 0.0000



Tb2Fe17H3 | Alexandria via LeMat-Bulk | GGA-PBEsol | optimized geometry; density of states at the Fermi level = 48.19 states/eV/cell; total DFT energy (no corrections) = -7.896 eV per atom
1.0
-7.1040 3.6053 -0.4318
-2.1572 -3.3791 7.2770
3.7680 7.4022 -0.1885
Fe H Tb
34 6 4
Direct
0.9854 0.3335 0.1667
0.2500 0.3789 0.0507
0.4854 0.6665 0.8333
0.5146 0.8333 0.6665
0.8932 0.3333 0.6667
0.0146 0.1667 0.3335
0.7500 0.0507 0.6718
0.2500 0.6718 0.0507
0.0000 0.5000 0.0000
0.2500 0.3789 0.3282
0.2500 0.6718 0.6211
0.9854 0.8333 0.6665
0.0000 0.0000 0.5000
0.0146 0.6665 0.8333
0.3932 0.6667 0.3333
0.4854 0.1667 0.3335
0.7500 0.3282 0.9493
0.4854 0.1667 0.8333
0.5000 0.0000 0.5000
0.1068 0.6667 0.3333
0.7500 0.6211 0.9493
0.0146 0.1667 0.8333
0.7500 0.3282 0.3789
0.5000 0.5000 0.0000
0.2500 0.9493 0.6211
0.5146 0.8333 0.1667
0.5146 0.3335 0.1667
0.7500 0.6211 0.6718
0.2500 0.9493 0.3282
0.6068 0.3333 0.6667
0.5000 0.5000 0.5000
0.7500 0.0507 0.3789
0.0000 0.5000 0.5000
0.9854 0.8333 0.1667
0.2500 0.6698 0.8349
0.7500 0.3302 0.1651
0.2500 0.1651 0.8349
0.7500 0.8349 0.6698
0.7500 0.8349 0.1651
0.2500 0.1651 0.3302
0.2500 0.3333 0.6667
0.7500 0.6667 0.3333
0.2500 0.0000 0.0000
0.7500 0.0000 0.0000



Tb2Ti2Fe22H | Alexandria via LeMat-Bulk | GGA-PBEsol | optimized geometry; density of states at the Fermi level = 27.98 states/eV/cell; total DFT energy (no corrections) = -8.494 eV per atom
1.0
-2.3335 -2.1685 -3.3758
-1.6110 -2.1636 5.6944
-8.4520 8.0830 0.6500
Fe Ti Tb H
22 2 2 1
Direct
0.2501 0.0016 0.2512
0.7515 0.0040 0.7496
0.8211 0.6422 0.1789
0.6769 0.3538 0.6767
0.3228 0.6455 0.6793
0.3895 0.7791 0.1100
0.8913 0.7826 0.6085
0.2525 0.0040 0.7496
0.7515 0.0016 0.2512
0.0011 0.5010 0.0013
0.6141 0.2282 0.1147
0.1083 0.2166 0.3914
0.8855 0.7710 0.3863
0.1799 0.3597 0.8221
0.5011 0.5007 0.5015
0.1760 0.3519 0.1762
0.9996 0.5007 0.5015
0.3875 0.7751 0.8868
0.6782 0.3563 0.3218
0.5000 0.5010 0.0013
0.6101 0.2202 0.8893
0.1166 0.2331 0.6158
0.8148 0.6296 0.8138
0.3132 0.6263 0.3142
0.5026 0.0052 0.5028
0.0029 0.0057 0.0028
0.5016 0.0033 0.0014



Fe2TcH2 | Alexandria via LeMat-Bulk | GGA-PBEsol | optimized geometry; density of states at the Fermi level = 4.77 states/eV/cell; total DFT energy (no corrections) = -6.981 eV per atom
1.0
3.1199 0.0000 0.0000
0.0000 3.1199 0.0000
-1.5600 -1.5600 3.9956
Fe H Tc
2 2 1
Direct
0.3359 0.3359 0.6718
0.6641 0.6641 0.3282
0.7500 0.2500 0.5000
0.2500 0.7500 0.5000
0.0000 0.0000 0.0000



Fe3TeH | Alexandria via LeMat-Bulk | GGA-PBEsol | optimized geometry; density of states at the Fermi level = 6.57 states/eV/cell; total DFT energy (no corrections) = -6.596 eV per atom
1.0
3.6745 0.0000 0.0000
0.0000 3.6745 0.0000
0.0000 0.0000 3.6745
Fe H Te
3 1 1
Direct
0.0000 0.0000 0.5000
0.0000 0.5000 0.0000
0.5000 0.0000 0.0000
0.0000 0.0000 0.0000
0.5000 0.5000 0.5000



TiFeH | Alexandria via LeMat-Bulk | GGA-PBEsol | optimized geometry; density of states at the Fermi level = 2.99 states/eV/cell; total DFT energy (no corrections) = -7.243 eV per atom
1.0
2.8647 0.0000 0.0000
0.0000 4.2132 0.0000
0.0000 0.0000 4.4963
H Fe Ti
2 2 2
Direct
0.0000 0.5000 0.0000
0.0000 0.0000 0.0000
0.0000 0.2500 0.3024
0.0000 0.7500 0.6976
0.5000 0.7500 0.2514
0.5000 0.2500 0.7486